Run A
Here is an optimized crystal structure of PbSe4 from Alexandria via LeMat-Bulk. Energies are from PBE-GGA.

```
data_PbSe4
_chemical_formula_sum 'Pb1 Se4'
_space_group_name_H-M_alt 'P m -3 m'
_space_group_IT_number 221
_space_group_name_Hall '-P 4 2 3'
_cell_length_a 5.4876
_cell_length_b 5.4876
_cell_length_c 5.4876
_cell_angle_alpha 90.00
_cell_angle_beta 90.00
_cell_angle_gamma 90.00
loop_
_atom_site_label
_atom_site_fract_x
_atom_site_fract_y
_atom_site_fract_z
Pb1 0.0000 0.0000 0.0000
Se1 0.0000 0.0000 0.5000
Se2 0.5000 0.5000 0.5000
```

Run B
Here is an optimized crystal structure of PbSe4 from Alexandria via LeMat-Bulk. Energies are from PBE-GGA.

```
data_PbSe4
_chemical_formula_sum 'Pb2 Se8'
_space_group_name_H-M_alt 'I m -3 m'
_space_group_IT_number 229
_space_group_name_Hall '-I 4 2 3'
_cell_length_a 6.6579
_cell_length_b 6.6579
_cell_length_c 6.6579
_cell_angle_alpha 90.00
_cell_angle_beta 90.00
_cell_angle_gamma 90.00
loop_
_atom_site_label
_atom_site_fract_x
_atom_site_fract_y
_atom_site_fract_z
Pb1 0.0000 0.0000 0.0000
Se1 0.2500 0.2500 0.2500
```

What are the relative energies? In meV/atom: run A 356; run B 0.

Run A
Here is an optimized crystal structure of Pb4Se from Alexandria via LeMat-Bulk. Energies are from PBE-GGA.

```
data_Pb4Se
_chemical_formula_sum 'Pb8 Se2'
_space_group_name_H-M_alt 'I 4/m m m'
_space_group_IT_number 139
_space_group_name_Hall '-I 4 2'
_cell_length_a 4.3468
_cell_length_b 4.3468
_cell_length_c 17.1556
_cell_angle_alpha 90.00
_cell_angle_beta 90.00
_cell_angle_gamma 90.00
loop_
_atom_site_label
_atom_site_fract_x
_atom_site_fract_y
_atom_site_fract_z
Pb1 0.0000 0.0000 0.0914
Pb2 0.0000 0.5000 0.2500
Se1 0.0000 0.0000 0.5000
```

Run B
Here is an optimized crystal structure of Pb4Se from Alexandria via LeMat-Bulk. Energies are from PBE-GGA.

```
data_Pb4Se
_chemical_formula_sum 'Pb4 Se1'
_space_group_name_H-M_alt 'P m -3 m'
_space_group_IT_number 221
_space_group_name_Hall '-P 4 2 3'
_cell_length_a 5.7040
_cell_length_b 5.7040
_cell_length_c 5.7040
_cell_angle_alpha 90.00
_cell_angle_beta 90.00
_cell_angle_gamma 90.00
loop_
_atom_site_label
_atom_site_fract_x
_atom_site_fract_y
_atom_site_fract_z
Pb1 0.0000 0.0000 0.0000
Pb2 0.0000 0.5000 0.5000
Se1 0.5000 0.5000 0.5000
```

What are the relative energies? In meV/atom: run A 0; run B 109.

Run A
Here is an optimized crystal structure of Pb3Se5 from Alexandria via LeMat-Bulk. Energies are from PBE-GGA.

```
data_Pb3Se5
_chemical_formula_sum 'Pb6 Se10'
_space_group_name_H-M_alt 'P 1'
_space_group_IT_number 1
_space_group_name_Hall 'P 1'
_cell_length_a 8.2561
_cell_length_b 8.5085
_cell_length_c 9.1290
_cell_angle_alpha 114.44
_cell_angle_beta 99.39
_cell_angle_gamma 110.55
loop_
_atom_site_label
_atom_site_fract_x
_atom_site_fract_y
_atom_site_fract_z
Pb1 0.0000 0.0000 0.0000
Pb2 0.0263 0.4580 0.8634
Pb3 0.3577 0.6583 0.5031
Pb4 0.4897 0.2243 0.5200
Pb5 0.5184 0.0283 0.0394
Pb6 0.8403 0.6621 0.4266
Se1 0.0254 0.7746 0.1913
Se2 0.1275 0.7575 0.7643
Se3 0.3392 0.8188 0.2570
Se4 0.4422 0.3574 0.2717
Se5 0.5426 0.5221 0.0096
Se6 0.6112 0.6867 0.8437
Se7 0.6321 0.2611 0.8695
Se8 0.7511 0.9663 0.6857
Se9 0.8226 0.1760 0.4815
Se10 0.9187 0.3179 0.3041
```

Run B
Here is an optimized crystal structure of Pb3Se5 from Alexandria via LeMat-Bulk. Energies are from PBE-GGA.

```
data_Pb3Se5
_chemical_formula_sum 'Pb6 Se10'
_space_group_name_H-M_alt 'C m m m'
_space_group_IT_number 65
_space_group_name_Hall '-C 2 2'
_cell_length_a 7.6993
_cell_length_b 9.3136
_cell_length_c 5.7946
_cell_angle_alpha 90.00
_cell_angle_beta 90.00
_cell_angle_gamma 90.00
loop_
_atom_site_label
_atom_site_fract_x
_atom_site_fract_y
_atom_site_fract_z
Pb1 0.0000 0.0000 0.0000
Pb2 0.0000 0.3041 0.5000
Se1 0.0000 0.5000 0.0000
Se2 0.1864 0.0000 0.5000
Se3 0.2500 0.2500 0.0000
```

What are the relative energies? In meV/atom: run A 0; run B 177.

Run A
Here is an optimized crystal structure of Si2PbSe from Alexandria via LeMat-Bulk. Energies are from PBE-GGA.

```
data_Si2PbSe
_chemical_formula_sum 'Si4 Pb2 Se2'
_space_group_name_H-M_alt 'C m m m'
_space_group_IT_number 65
_space_group_name_Hall '-C 2 2'
_cell_length_a 6.9237
_cell_length_b 6.9653
_cell_length_c 3.5798
_cell_angle_alpha 90.00
_cell_angle_beta 90.00
_cell_angle_gamma 90.00
loop_
_atom_site_label
_atom_site_fract_x
_atom_site_fract_y
_atom_site_fract_z
Si1 0.2500 0.2500 0.0000
Pb1 0.0000 0.0000 0.5000
Se1 0.0000 0.5000 0.5000
```

Run B
Here is an optimized crystal structure of Si2PbSe from Alexandria via LeMat-Bulk. Energies are from PBE-GGA.

```
data_Si2PbSe
_chemical_formula_sum 'Si4 Pb2 Se2'
_space_group_name_H-M_alt 'A m m 2'
_space_group_IT_number 38
_space_group_name_Hall 'A 2 -2'
_cell_length_a 3.8234
_cell_length_b 3.4672
_cell_length_c 16.1359
_cell_angle_alpha 90.00
_cell_angle_beta 90.00
_cell_angle_gamma 90.00
loop_
_atom_site_label
_atom_site_fract_x
_atom_site_fract_y
_atom_site_fract_z
Si1 0.0000 0.0000 0.0000
Si2 0.5000 0.0000 0.0839
Pb1 0.5000 0.0000 0.7230
Se1 0.0000 0.0000 0.4037
```

Run C
Here is an optimized crystal structure of Si2PbSe from Alexandria via LeMat-Bulk. Energies are from PBE-GGA.

```
data_Si2PbSe
_chemical_formula_sum 'Si4 Pb2 Se2'
_space_group_name_H-M_alt 'C m m 2'
_space_group_IT_number 35
_space_group_name_Hall 'C 2 -2'
_cell_length_a 3.4526
_cell_length_b 5.8720
_cell_length_c 8.9509
_cell_angle_alpha 90.00
_cell_angle_beta 90.00
_cell_angle_gamma 90.00
loop_
_atom_site_label
_atom_site_fract_x
_atom_site_fract_y
_atom_site_fract_z
Si1 0.0000 0.0000 0.0000
Si2 0.0000 0.5000 0.1959
Pb1 0.0000 0.5000 0.7302
Se1 0.0000 0.0000 0.3861
```

What are the relative energies? In meV/atom: run A 496; run B 0; run C 306.

Run A
Here is an optimized crystal structure of Si2PbSe from Alexandria via LeMat-Bulk. Energies are from PBE-GGA.

```
data_Si2PbSe
_chemical_formula_sum 'Si4 Pb2 Se2'
_space_group_name_H-M_alt 'I 4/m m m'
_space_group_IT_number 139
_space_group_name_Hall '-I 4 2'
_cell_length_a 4.1096
_cell_length_b 4.1096
_cell_length_c 10.6738
_cell_angle_alpha 90.00
_cell_angle_beta 90.00
_cell_angle_gamma 90.00
loop_
_atom_site_label
_atom_site_fract_x
_atom_site_fract_y
_atom_site_fract_z
Si1 0.0000 0.5000 0.2500
Pb1 0.0000 0.0000 0.0000
Se1 0.0000 0.0000 0.5000
```

Run B
Here is an optimized crystal structure of Si2PbSe from Alexandria via LeMat-Bulk. Energies are from PBE-GGA.

```
data_Si2PbSe
_chemical_formula_sum 'Si4 Pb2 Se2'
_space_group_name_H-M_alt 'I -4 m 2'
_space_group_IT_number 119
_space_group_name_Hall 'I -4 -2'
_cell_length_a 4.1051
_cell_length_b 4.1051
_cell_length_c 10.4601
_cell_angle_alpha 90.00
_cell_angle_beta 90.00
_cell_angle_gamma 90.00
loop_
_atom_site_label
_atom_site_fract_x
_atom_site_fract_y
_atom_site_fract_z
Si1 0.0000 0.0000 0.0000
Si2 0.0000 0.5000 0.2500
Pb1 0.0000 0.5000 0.7500
Se1 0.0000 0.0000 0.5000
```

Run C
Here is an optimized crystal structure of Si2PbSe from Alexandria via LeMat-Bulk. Energies are from PBE-GGA.

```
data_Si2PbSe
_chemical_formula_sum 'Si6 Pb3 Se3'
_space_group_name_H-M_alt 'R -3 m'
_space_group_IT_number 166
_space_group_name_Hall '-R 3 2"'
_cell_length_a 3.6035
_cell_length_b 3.6035
_cell_length_c 23.8793
_cell_angle_alpha 90.00
_cell_angle_beta 90.00
_cell_angle_gamma 120.00
loop_
_atom_site_label
_atom_site_fract_x
_atom_site_fract_y
_atom_site_fract_z
Si1 0.0000 0.0000 0.2373
Pb1 0.0000 0.0000 0.0000
Se1 0.0000 0.0000 0.5000
```

What are the relative energies? In meV/atom: run A 135; run B 161; run C 0.

Run A
Here is an optimized crystal structure of Si2PbSe from Alexandria via LeMat-Bulk. Energies are from PBE-GGA.

```
data_Si2PbSe
_chemical_formula_sum 'Si8 Pb4 Se4'
_space_group_name_H-M_alt 'F m -3 m'
_space_group_IT_number 225
_space_group_name_Hall '-F 4 2 3'
_cell_length_a 6.9708
_cell_length_b 6.9708
_cell_length_c 6.9708
_cell_angle_alpha 90.00
_cell_angle_beta 90.00
_cell_angle_gamma 90.00
loop_
_atom_site_label
_atom_site_fract_x
_atom_site_fract_y
_atom_site_fract_z
Si1 0.2500 0.2500 0.2500
Pb1 0.0000 0.0000 0.0000
Se1 0.0000 0.0000 0.5000
```

Run B
Here is an optimized crystal structure of Si2PbSe from Alexandria via LeMat-Bulk. Energies are from PBE-GGA.

```
data_Si2PbSe
_chemical_formula_sum 'Si2 Pb1 Se1'
_space_group_name_H-M_alt 'P 4/m m m'
_space_group_IT_number 123
_space_group_name_Hall '-P 4 2'
_cell_length_a 3.7173
_cell_length_b 3.7173
_cell_length_c 6.4144
_cell_angle_alpha 90.00
_cell_angle_beta 90.00
_cell_angle_gamma 90.00
loop_
_atom_site_label
_atom_site_fract_x
_atom_site_fract_y
_atom_site_fract_z
Si1 0.0000 0.0000 0.1879
Pb1 0.5000 0.5000 0.5000
Se1 0.5000 0.5000 0.0000
```

Run C
Here is an optimized crystal structure of Si2PbSe from Alexandria via LeMat-Bulk. Energies are from PBE-GGA.

```
data_Si2PbSe
_chemical_formula_sum 'Si4 Pb2 Se2'
_space_group_name_H-M_alt 'I m m 2'
_space_group_IT_number 44
_space_group_name_Hall 'I 2 -2'
_cell_length_a 3.4496
_cell_length_b 5.7065
_cell_length_c 9.1718
_cell_angle_alpha 90.00
_cell_angle_beta 90.00
_cell_angle_gamma 90.00
loop_
_atom_site_label
_atom_site_fract_x
_atom_site_fract_y
_atom_site_fract_z
Si1 0.0000 0.0000 0.0000
Si2 0.0000 0.5000 0.3128
Pb1 0.0000 0.5000 0.7857
Se1 0.0000 0.0000 0.6168
```

Run D
Here is an optimized crystal structure of Si2PbSe from Alexandria via LeMat-Bulk. Energies are from PBE-GGA.

```
data_Si2PbSe
_chemical_formula_sum 'Si4 Pb2 Se2'
_space_group_name_H-M_alt 'C 1 2/m 1'
_space_group_IT_number 12
_space_group_name_Hall '-C 2y'
_cell_length_a 5.7450
_cell_length_b 7.9119
_cell_length_c 4.8641
_cell_angle_alpha 90.00
_cell_angle_beta 125.29
_cell_angle_gamma 90.00
loop_
_atom_site_label
_atom_site_fract_x
_atom_site_fract_y
_atom_site_fract_z
Si1 0.2500 0.2500 0.0000
Pb1 0.0000 0.0000 0.5000
Se1 0.0000 0.5000 0.5000
```

What are the relative energies? In meV/atom: run A 285; run B 85; run C 0; run D 7.